[1]
The following is a DFT calculation (PBE) of a relaxed structure of Li2MgPt.

## Properties
total magnetic moment	0.0	Bohr magnetons per cell
DFT formation energy	-0.458	eV/atom

Lattice parameters (Å, degrees): 3.8809 3.8809 4.1486 90.00 90.00 90.00
Fractional coordinates of all 4 atoms:
Mg 0.5000 0.0000 0.5000
Li 0.5000 0.5000 0.0000
Pt 0.0000 0.5000 0.5000
Li 0.0000 0.0000 0.0000

***

[2]
The following is a DFT calculation (PBE) of a relaxed structure of LiMgPt2.

## Properties
total magnetic moment	0.0	Bohr magnetons per cell
DFT formation energy	-0.180	eV/atom

Lattice parameters (Å, degrees): 5.6675 5.6675 5.6675 58.61 151.41 130.00
Fractional coordinates of all 4 atoms:
Pt 0.0000 0.2429 0.2429
Pt 0.0000 0.7571 0.7571
Li 0.0000 0.0000 0.0000
Mg 0.0000 0.5000 0.5000

***

[3]
The following is a DFT calculation (PBE) of a relaxed structure of Li3Mg2Pt2.

## Properties
total magnetic moment	0.0	Bohr magnetons per cell
DFT formation energy	-0.568	eV/atom

Lattice parameters (Å, degrees): 4.4302 4.4302 6.9096 89.97 108.75 119.97
Fractional coordinates of all 7 atoms:
Li 0.7153 0.8587 0.5739
Li 0.2847 0.1413 0.4261
Pt 0.1416 0.5721 0.7137
Pt 0.8584 0.4279 0.2863
Li 0.0000 0.0000 0.0000
Mg 0.5715 0.2862 0.8577
Mg 0.4285 0.7138 0.1423

***

[4]
The following is a DFT calculation (PBE) of a relaxed structure of LiMgPt4.

## Properties
total magnetic moment	0.0	Bohr magnetons per cell
DFT formation energy	-0.518	eV/atom

Lattice parameters (Å, degrees): 5.2827 5.2827 5.2827 60.00 60.00 60.00
Fractional coordinates of all 6 atoms:
Pt 0.1254 0.6249 0.6249
Pt 0.6249 0.6249 0.6249
Mg 0.0000 0.0000 0.0000
Li 0.2500 0.2500 0.2500
Pt 0.6249 0.6249 0.1254
Pt 0.6249 0.1254 0.6249

***

[5]
The following is a DFT calculation (PBE) of a relaxed structure of Li2MgPt.

## Properties
total magnetic moment	0.0	Bohr magnetons per cell
DFT formation energy	-0.426	eV/atom

Lattice parameters (Å, degrees): 4.8474 4.8474 4.7141 74.66 74.66 36.41
Fractional coordinates of all 4 atoms:
Mg 0.5115 0.5115 0.4625
Pt 0.2573 0.2573 0.2641
Li 0.9861 0.9861 0.9972
Li 0.7451 0.7451 0.7763

***

[6]
The following is a DFT calculation (PBE) of a relaxed structure of Li3Mg2Pt.

## Properties
total magnetic moment	0.0	Bohr magnetons per cell
DFT formation energy	-0.325	eV/atom

Lattice parameters (Å, degrees): 3.8990 6.6525 9.6064 115.04 90.00 107.04
Fractional coordinates of all 12 atoms:
Mg 0.4714 0.9429 0.1218
Mg 0.2153 0.4305 0.8740
Li 0.9481 0.8961 0.6307
Li 0.0519 0.1039 0.3693
Pt 0.1302 0.2605 0.1115
Li 0.7033 0.4066 0.3510
Li 0.6306 0.2613 0.6269
Pt 0.8698 0.7395 0.8885
Mg 0.5286 0.0571 0.8782
Li 0.2967 0.5934 0.6490
Li 0.3694 0.7387 0.3731
Mg 0.7847 0.5695 0.1260

***

[7]
The following is a DFT calculation (PBE) of a relaxed structure of Li12Mg2Pt.

## Properties
total magnetic moment	0.0	Bohr magnetons per cell
DFT formation energy	0.009	eV/atom

Lattice parameters (Å, degrees): 5.6475 5.6475 19.3081 90.00 90.00 90.00
Fractional coordinates of all 30 atoms:
Li 0.8217 0.3217 0.5651
Li 0.0000 0.0000 0.1972
Li 0.3217 0.8217 0.4349
Pt 0.5000 0.0000 0.0000
Li 0.5000 0.5000 0.8028
Li 0.5000 0.5000 0.1972
Li 0.2500 0.7500 0.0775
Li 0.8217 0.6783 0.4349
Li 0.7500 0.2500 0.9225
Li 0.2500 0.2500 0.9225
Li 0.6783 0.1783 0.4349
Li 0.1783 0.3217 0.4349
Li 0.0000 0.0000 0.8028
Pt 0.0000 0.5000 0.0000
Li 0.2500 0.2500 0.0775
Li 0.7500 0.7500 0.0775
Mg 0.0000 0.5000 0.7254
Mg 0.5000 0.0000 0.2746
Li 0.7500 0.2500 0.0775
Li 0.0000 0.0000 0.3340
Li 0.2500 0.7500 0.9225
Li 0.5000 0.5000 0.6660
Mg 0.0000 0.5000 0.2746
Li 0.0000 0.0000 0.6660
Li 0.6783 0.8217 0.5651
Li 0.7500 0.7500 0.9225
Li 0.3217 0.1783 0.5651
Mg 0.5000 0.0000 0.7254
Li 0.5000 0.5000 0.3340
Li 0.1783 0.6783 0.5651

***

[8]
The following is a DFT calculation (PBE) of a relaxed structure of LiMgPt.

## Properties
total magnetic moment	0.0	Bohr magnetons per cell
DFT formation energy	-0.627	eV/atom
polymorph energy (0 for the lowest one)	0.040	eV/f.u.

Lattice parameters (Å, degrees): 4.3102 4.3102 2.8475 90.00 90.00 120.00
Fractional coordinates of all 3 atoms:
Pt 0.0000 0.0000 0.8632
Li 0.6667 0.3333 0.6110
Mg 0.3333 0.6667 0.2819

***

[9]
The following is a DFT calculation (PBE) of a relaxed structure of Li2MgPt.

## Properties
total magnetic moment	0.0	Bohr magnetons per cell
DFT formation energy	-0.483	eV/atom

Lattice parameters (Å, degrees): 5.0651 5.0651 4.5782 73.89 73.89 34.45
Fractional coordinates of all 4 atoms:
Mg 0.7500 0.7500 0.7500
Pt 0.2500 0.2500 0.2500
Li 0.9800 0.9800 0.0324
Li 0.5200 0.5200 0.4676

***

[10]
The following is a DFT calculation (PBE) of a relaxed structure of Li2MgPt9.

## Properties
total magnetic moment	0.0	Bohr magnetons per cell
DFT formation energy	-0.476	eV/atom

Lattice parameters (Å, degrees): 3.9112 3.9112 11.7118 90.00 90.00 90.00
Fractional coordinates of all 12 atoms:
Mg 0.0000 0.0000 0.0000
Pt 0.5000 0.5000 0.6644
Li 0.0000 0.0000 0.6644
Pt 0.5000 0.0000 0.5000
Pt 0.0000 0.5000 0.5000
Pt 0.0000 0.5000 0.8290
Pt 0.5000 0.5000 0.3356
Pt 0.5000 0.0000 0.8290
Pt 0.0000 0.5000 0.1710
Pt 0.5000 0.0000 0.1710
Li 0.0000 0.0000 0.3356
Pt 0.5000 0.5000 0.0000

***

[11]
The following is a DFT calculation (PBE) of a relaxed structure of LiMg6Pt.

## Properties
total magnetic moment	0.0	Bohr magnetons per cell
DFT formation energy	-0.104	eV/atom

Lattice parameters (Å, degrees): 5.9504 6.2861 6.1350 59.18 76.79 63.52
Fractional coordinates of all 8 atoms:
Mg 0.2491 0.5310 0.4046
Li 0.0000 0.0000 0.0000
Mg 0.7509 0.4690 0.5954
Mg 0.7437 0.7437 0.0000
Mg 0.2491 0.9356 0.5954
Pt 0.5000 0.5000 0.0000
Mg 0.7509 0.0644 0.4046
Mg 0.2563 0.2563 0.0000

***

[12]
The following is a DFT calculation (PBE) of a relaxed structure of LiMgPt.

## Properties
total magnetic moment	0.0	Bohr magnetons per cell
DFT formation energy	-0.582	eV/atom
polymorph energy (0 for the lowest one)	0.176	eV/f.u.

Lattice parameters (Å, degrees): 4.9856 4.9857 3.2319 71.09 71.09 37.82
Fractional coordinates of all 3 atoms:
Li 0.9839 0.9839 0.0161
Mg 0.6748 0.6748 0.3252
Pt 0.3413 0.3413 0.6587